[1]
An optimized crystal structure of LiSn3Cl. Source: Alexandria via LeMat-Bulk, functional GGA-PBE.

The structure in CIF format:
```
data_LiSn3Cl
_chemical_formula_sum 'Li1 Sn3 Cl1'
_space_group_name_H-M_alt 'P m -3 m'
_space_group_IT_number 221
_space_group_name_Hall '-P 4 2 3'
_cell_length_a 5.442
_cell_length_b 5.442
_cell_length_c 5.442
_cell_angle_alpha 90.00
_cell_angle_beta 90.00
_cell_angle_gamma 90.00
loop_
_atom_site_label
_atom_site_fract_x
_atom_site_fract_y
_atom_site_fract_z
Li1 0.000 0.000 0.000
Sn1 0.000 0.500 0.500
Cl1 0.500 0.500 0.500
```

Density of states at the Fermi level   1.2 states/eV/cell
Total DFT energy (no corrections)   -2.872 eV/atom
Crystal system   cubic

---

[2]
An optimized crystal structure of LiSn2Cl8. Source: Alexandria via LeMat-Bulk, functional GGA-PBE.

The structure in CIF format:
```
data_LiSn2Cl8
_chemical_formula_sum 'Li2 Sn4 Cl16'
_space_group_name_H-M_alt 'C 1 2/m 1'
_space_group_IT_number 12
_cell_length_a 12.581
_cell_length_b 10.230
_cell_length_c 6.422
_cell_angle_alpha 90.00
_cell_angle_beta 99.64
_cell_angle_gamma 90.00
loop_
_space_group_symop_operation_xyz
'x,y,z'
'-x,-y,-z'
'-x,y,-z'
'x,-y,z'
'x+1/2,y+1/2,z'
'-x+1/2,-y+1/2,-z'
'-x+1/2,y+1/2,-z'
'x+1/2,-y+1/2,z'
loop_
_atom_site_label
_atom_site_fract_x
_atom_site_fract_y
_atom_site_fract_z
Li1 0.000 0.000 0.000
Sn1 0.204 0.000 0.697
Cl1 0.097 0.175 0.810
Cl2 0.113 0.500 0.136
Cl3 0.186 0.000 0.317
```

Density of states at the Fermi level   10.7 states/eV/cell
Total DFT energy (no corrections)   -3.231 eV/atom
Crystal system   monoclinic

---

[3]
An optimized crystal structure of Li3SnCl. Source: Alexandria via LeMat-Bulk, functional GGA-PBE.

The structure in CIF format:
```
data_Li3SnCl
_chemical_formula_sum 'Li3 Sn1 Cl1'
_space_group_name_H-M_alt 'P m -3 m'
_space_group_IT_number 221
_space_group_name_Hall '-P 4 2 3'
_cell_length_a 5.350
_cell_length_b 5.350
_cell_length_c 5.350
_cell_angle_alpha 90.00
_cell_angle_beta 90.00
_cell_angle_gamma 90.00
loop_
_atom_site_label
_atom_site_fract_x
_atom_site_fract_y
_atom_site_fract_z
Li1 0.000 0.000 0.500
Sn1 0.000 0.000 0.000
Cl1 0.500 0.500 0.500
```

Density of states at the Fermi level   5.3 states/eV/cell
Total DFT energy (no corrections)   -2.469 eV/atom
Crystal system   cubic

---

[4]
An optimized crystal structure of LiSnCl3. Source: Alexandria via LeMat-Bulk, functional GGA-PBE.

The structure in CIF format:
```
data_LiSnCl3
_chemical_formula_sum 'Li1 Sn1 Cl3'
_space_group_name_H-M_alt 'P m -3 m'
_space_group_IT_number 221
_space_group_name_Hall '-P 4 2 3'
_cell_length_a 4.752
_cell_length_b 4.752
_cell_length_c 4.752
_cell_angle_alpha 90.00
_cell_angle_beta 90.00
_cell_angle_gamma 90.00
loop_
_atom_site_label
_atom_site_fract_x
_atom_site_fract_y
_atom_site_fract_z
Li1 0.000 0.000 0.000
Sn1 0.500 0.500 0.500
Cl1 0.000 0.000 0.500
```

Density of states at the Fermi level   0.0 states/eV/cell
Total DFT energy (no corrections)   -3.374 eV/atom
Crystal system   cubic

---

[5]
An optimized crystal structure of LiSn2Cl4. Source: Alexandria via LeMat-Bulk, functional GGA-PBE.

The structure in CIF format:
```
data_LiSn2Cl4
_chemical_formula_sum 'Li2 Sn4 Cl8'
_space_group_name_H-M_alt 'I -4 2 m'
_space_group_IT_number 121
_space_group_name_Hall 'I -4 2'
_cell_length_a 7.579
_cell_length_b 7.579
_cell_length_c 6.407
_cell_angle_alpha 90.00
_cell_angle_beta 90.00
_cell_angle_gamma 90.00
loop_
_atom_site_label
_atom_site_fract_x
_atom_site_fract_y
_atom_site_fract_z
Li1 0.000 0.000 0.000
Sn1 0.000 0.500 0.250
Cl1 0.172 0.172 0.768
```

Density of states at the Fermi level   1.7 states/eV/cell
Total DFT energy (no corrections)   -3.564 eV/atom
Crystal system   tetragonal

---

[6]
An optimized crystal structure of LiSn2Cl8. Source: Alexandria via LeMat-Bulk, functional GGA-PBE.

The structure in CIF format:
```
data_LiSn2Cl8
_chemical_formula_sum 'Li1 Sn2 Cl8'
_space_group_name_H-M_alt 'P 1'
_space_group_IT_number 1
_cell_length_a 7.349
_cell_length_b 7.462
_cell_length_c 7.889
_cell_angle_alpha 87.38
_cell_angle_beta 63.00
_cell_angle_gamma 88.92
loop_
_space_group_symop_operation_xyz
'x,y,z'
loop_
_atom_site_label
_atom_site_fract_x
_atom_site_fract_y
_atom_site_fract_z
Li1 0.000 0.000 0.000
Sn1 0.288 0.954 0.374
Sn2 0.488 0.350 0.719
Cl1 0.049 0.856 0.718
Cl2 0.102 0.832 0.207
Cl3 0.132 0.328 0.911
Cl4 0.203 0.268 0.378
Cl5 0.568 0.555 0.467
Cl6 0.594 0.065 0.607
Cl7 0.636 0.444 0.902
Cl8 0.649 0.918 0.100
```

Density of states at the Fermi level   2.7 states/eV/cell
Total DFT energy (no corrections)   -3.251 eV/atom
Crystal system   triclinic

---

[7]
An optimized crystal structure of Li5Sn3Cl12. Source: Alexandria via LeMat-Bulk, functional GGA-PBE.

The structure in CIF format:
```
data_Li5Sn3Cl12
_chemical_formula_sum 'Li40 Sn24 Cl96'
_space_group_name_H-M_alt 'I a -3 d'
_space_group_IT_number 230
_space_group_name_Hall '-I 4bd 2c 3'
_cell_length_a 15.507
_cell_length_b 15.507
_cell_length_c 15.507
_cell_angle_alpha 90.00
_cell_angle_beta 90.00
_cell_angle_gamma 90.00
loop_
_atom_site_label
_atom_site_fract_x
_atom_site_fract_y
_atom_site_fract_z
Li1 0.000 0.000 0.000
Li2 0.000 0.250 0.375
Sn1 0.000 0.250 0.125
Cl1 0.027 0.061 0.652
```

Density of states at the Fermi level   105.4 states/eV/cell
Total DFT energy (no corrections)   -3.501 eV/atom
Crystal system   cubic

---

[8]
An optimized crystal structure of Li2Sn5Cl12. Source: Alexandria via LeMat-Bulk, functional GGA-PBE.

The structure in CIF format:
```
data_Li2Sn5Cl12
_chemical_formula_sum 'Li4 Sn10 Cl24'
_space_group_name_H-M_alt 'C 1 2/m 1'
_space_group_IT_number 12
_cell_length_a 16.069
_cell_length_b 7.635
_cell_length_c 9.043
_cell_angle_alpha 90.00
_cell_angle_beta 107.01
_cell_angle_gamma 90.00
loop_
_space_group_symop_operation_xyz
'x,y,z'
'-x,-y,-z'
'-x,y,-z'
'x,-y,z'
'x+1/2,y+1/2,z'
'-x+1/2,-y+1/2,-z'
'-x+1/2,y+1/2,-z'
'x+1/2,-y+1/2,z'
loop_
_atom_site_label
_atom_site_fract_x
_atom_site_fract_y
_atom_site_fract_z
Li1 0.000 0.217 0.000
Sn1 0.000 0.000 0.500
Sn2 0.172 0.500 0.813
Sn3 0.179 0.500 0.314
Cl1 0.002 0.500 0.206
Cl2 0.004 0.000 0.807
Cl3 0.143 0.255 0.578
Cl4 0.165 0.264 0.091
```

Density of states at the Fermi level   0.0 states/eV/cell
Total DFT energy (no corrections)   -3.569 eV/atom
Crystal system   monoclinic

---

[9]
An optimized crystal structure of Li2Sn4Cl9. Source: Alexandria via LeMat-Bulk, functional GGA-PBE.

The structure in CIF format:
```
data_Li2Sn4Cl9
_chemical_formula_sum 'Li4 Sn8 Cl18'
_space_group_name_H-M_alt 'P -1'
_space_group_IT_number 2
_cell_length_a 6.791
_cell_length_b 7.188
_cell_length_c 21.422
_cell_angle_alpha 96.19
_cell_angle_beta 90.11
_cell_angle_gamma 118.17
loop_
_space_group_symop_operation_xyz
'x,y,z'
'-x,-y,-z'
loop_
_atom_site_label
_atom_site_fract_x
_atom_site_fract_y
_atom_site_fract_z
Li1 0.116 0.460 0.173
Li2 0.160 0.547 0.326
Sn1 0.204 0.161 0.965
Sn2 0.228 0.161 0.682
Sn3 0.435 0.168 0.182
Sn4 0.461 0.164 0.465
Cl1 0.084 0.800 0.104
Cl2 0.124 0.223 0.250
Cl3 0.128 0.833 0.402
Cl4 0.182 0.497 0.750
Cl5 0.205 0.829 0.903
Cl6 0.212 0.796 0.603
Cl7 0.405 0.429 0.109
Cl8 0.405 0.784 0.250
Cl9 0.480 0.576 0.390
```

Density of states at the Fermi level   0.6 states/eV/cell
Total DFT energy (no corrections)   -3.532 eV/atom
Crystal system   triclinic

---

[10]
An optimized crystal structure of Li2SnCl6. Source: Alexandria via LeMat-Bulk, functional GGA-PBE.

The structure in CIF format:
```
data_Li2SnCl6
_chemical_formula_sum 'Li8 Sn4 Cl24'
_space_group_name_H-M_alt 'C 1 2/c 1'
_space_group_IT_number 15
_cell_length_a 14.086
_cell_length_b 14.008
_cell_length_c 6.342
_cell_angle_alpha 90.00
_cell_angle_beta 116.69
_cell_angle_gamma 90.00
loop_
_space_group_symop_operation_xyz
'x,y,z'
'-x,-y,-z'
'-x,y,-z+1/2'
'x,-y,z+1/2'
'x+1/2,y+1/2,z'
'-x+1/2,-y+1/2,-z'
'-x+1/2,y+1/2,-z+1/2'
'x+1/2,-y+1/2,z+1/2'
loop_
_atom_site_label
_atom_site_fract_x
_atom_site_fract_y
_atom_site_fract_z
Li1 0.250 0.055 0.049
Sn1 0.000 0.250 0.750
Cl1 0.099 0.155 0.077
Cl2 0.099 0.346 0.622
Cl3 0.249 0.090 0.704
```

Density of states at the Fermi level   0.0 states/eV/cell
Total DFT energy (no corrections)   -3.319 eV/atom
Crystal system   monoclinic

---

[11]
An optimized crystal structure of LiSn2Cl5. Source: Alexandria via LeMat-Bulk, functional GGA-PBE.

The structure in CIF format:
```
data_LiSn2Cl5
_chemical_formula_sum 'Li1 Sn2 Cl5'
_space_group_name_H-M_alt 'P 1'
_space_group_IT_number 1
_cell_length_a 5.811
_cell_length_b 6.786
_cell_length_c 7.000
_cell_angle_alpha 75.37
_cell_angle_beta 74.51
_cell_angle_gamma 65.58
loop_
_space_group_symop_operation_xyz
'x,y,z'
loop_
_atom_site_label
_atom_site_fract_x
_atom_site_fract_y
_atom_site_fract_z
Li1 0.000 0.000 0.000
Sn1 0.297 0.341 0.209
Sn2 0.859 0.630 0.729
Cl1 0.069 0.763 0.347
Cl2 0.093 0.228 0.649
Cl3 0.266 0.637 0.844
Cl4 0.581 0.007 0.994
Cl5 0.854 0.351 0.141
```

Density of states at the Fermi level   0.0 states/eV/cell
Total DFT energy (no corrections)   -3.567 eV/atom
Crystal system   triclinic

---

[12]
An optimized crystal structure of LiSnCl5. Source: Alexandria via LeMat-Bulk, functional GGA-PBE.

The structure in CIF format:
```
data_LiSnCl5
_chemical_formula_sum 'Li4 Sn4 Cl20'
_space_group_name_H-M_alt 'C 1 2/c 1'
_space_group_IT_number 15
_cell_length_a 10.154
_cell_length_b 13.125
_cell_length_c 8.396
_cell_angle_alpha 90.00
_cell_angle_beta 113.21
_cell_angle_gamma 90.00
loop_
_space_group_symop_operation_xyz
'x,y,z'
'-x,-y,-z'
'-x,y,-z+1/2'
'x,-y,z+1/2'
'x+1/2,y+1/2,z'
'-x+1/2,-y+1/2,-z'
'-x+1/2,y+1/2,-z+1/2'
'x+1/2,-y+1/2,z+1/2'
loop_
_atom_site_label
_atom_site_fract_x
_atom_site_fract_y
_atom_site_fract_z
Li1 0.000 0.000 0.000
Sn1 0.000 0.350 0.250
Cl1 0.000 0.056 0.750
Cl2 0.099 0.248 0.101
Cl3 0.176 0.451 0.450
```

Density of states at the Fermi level   0.0 states/eV/cell
Total DFT energy (no corrections)   -3.267 eV/atom
Crystal system   monoclinic

---

[13]
An optimized crystal structure of LiSnCl3. Source: Alexandria via LeMat-Bulk, functional GGA-PBE.

The structure in CIF format:
```
data_LiSnCl3
_chemical_formula_sum 'Li4 Sn4 Cl12'
_space_group_name_H-M_alt 'C m c 21'
_space_group_IT_number 36
_cell_length_a 4.375
_cell_length_b 17.309
_cell_length_c 7.048
_cell_angle_alpha 90.00
_cell_angle_beta 90.00
_cell_angle_gamma 90.00
loop_
_space_group_symop_operation_xyz
'x,y,z'
'-x,-y,z+1/2'
'-x,y,z'
'x,-y,z+1/2'
'x+1/2,y+1/2,z'
'-x+1/2,-y+1/2,z+1/2'
'-x+1/2,y+1/2,z'
'x+1/2,-y+1/2,z+1/2'
loop_
_atom_site_label
_atom_site_fract_x
_atom_site_fract_y
_atom_site_fract_z
Li1 0.000 0.165 0.000
Sn1 0.000 0.432 0.983
Cl1 0.000 0.049 0.223
Cl2 0.000 0.294 0.858
Cl3 0.000 0.377 0.352
```

Density of states at the Fermi level   0.0 states/eV/cell
Total DFT energy (no corrections)   -3.545 eV/atom
Crystal system   orthorhombic

---

[14]
An optimized crystal structure of LiSnCl3. Source: Alexandria via LeMat-Bulk, functional GGA-PBE.

The structure in CIF format:
```
data_LiSnCl3
_chemical_formula_sum 'Li4 Sn4 Cl12'
_space_group_name_H-M_alt 'P n m a'
_space_group_IT_number 62
_cell_length_a 7.445
_cell_length_b 9.836
_cell_length_c 6.915
_cell_angle_alpha 90.00
_cell_angle_beta 90.00
_cell_angle_gamma 90.00
loop_
_space_group_symop_operation_xyz
'x,y,z'
'-x,-y,-z'
'-x+1/2,-y,z+1/2'
'x+1/2,y,-z+1/2'
'x+1/2,-y+1/2,-z+1/2'
'-x+1/2,y+1/2,z+1/2'
'-x,y+1/2,-z'
'x,-y+1/2,z'
loop_
_atom_site_label
_atom_site_fract_x
_atom_site_fract_y
_atom_site_fract_z
Li1 0.000 0.000 0.000
Sn1 0.147 0.250 0.439
Cl1 0.035 0.750 0.101
Cl2 0.212 0.561 0.717
```

Density of states at the Fermi level   0.0 states/eV/cell
Total DFT energy (no corrections)   -3.602 eV/atom
Crystal system   orthorhombic

---

[15]
An optimized crystal structure of LiSn2Cl5. Source: Alexandria via LeMat-Bulk, functional GGA-PBE.

The structure in CIF format:
```
data_LiSn2Cl5
_chemical_formula_sum 'Li4 Sn8 Cl20'
_space_group_name_H-M_alt 'C m c m'
_space_group_IT_number 63
_space_group_name_Hall '-C 2c 2'
_cell_length_a 5.594
_cell_length_b 12.317
_cell_length_c 14.128
_cell_angle_alpha 90.00
_cell_angle_beta 90.00
_cell_angle_gamma 90.00
loop_
_atom_site_label
_atom_site_fract_x
_atom_site_fract_y
_atom_site_fract_z
Li1 0.000 0.219 0.250
Sn1 0.000 0.148 0.573
Cl1 0.000 0.054 0.121
Cl2 0.000 0.250 0.750
Cl3 0.000 0.342 0.106
```

Density of states at the Fermi level   0.0 states/eV/cell
Total DFT energy (no corrections)   -3.557 eV/atom
Crystal system   orthorhombic

---

[16]
An optimized crystal structure of Li2SnCl6. Source: Alexandria via LeMat-Bulk, functional GGA-PBE.

The structure in CIF format:
```
data_Li2SnCl6
_chemical_formula_sum 'Li4 Sn2 Cl12'
_space_group_name_H-M_alt 'P 1 21/c 1'
_space_group_IT_number 14
_cell_length_a 6.432
_cell_length_b 6.170
_cell_length_c 12.617
_cell_angle_alpha 90.00
_cell_angle_beta 120.63
_cell_angle_gamma 90.00
loop_
_space_group_symop_operation_xyz
'x,y,z'
'-x,-y,-z'
'-x,y+1/2,-z+1/2'
'x,-y+1/2,z+1/2'
loop_
_atom_site_label
_atom_site_fract_x
_atom_site_fract_y
_atom_site_fract_z
Li1 0.176 0.001 0.176
Sn1 0.500 0.000 0.000
Cl1 0.170 0.225 0.838
Cl2 0.184 0.723 0.500
Cl3 0.493 0.227 0.161
```

Density of states at the Fermi level   0.0 states/eV/cell
Total DFT energy (no corrections)   -3.422 eV/atom
Crystal system   monoclinic

---

[17]
An optimized crystal structure of LiSn3Cl. Source: Alexandria via LeMat-Bulk, functional GGA-PBE.

The structure in CIF format:
```
data_LiSn3Cl
_chemical_formula_sum 'Li1 Sn3 Cl1'
_space_group_name_H-M_alt 'P m -3 m'
_space_group_IT_number 221
_space_group_name_Hall '-P 4 2 3'
_cell_length_a 5.110
_cell_length_b 5.110
_cell_length_c 5.110
_cell_angle_alpha 90.00
_cell_angle_beta 90.00
_cell_angle_gamma 90.00
loop_
_atom_site_label
_atom_site_fract_x
_atom_site_fract_y
_atom_site_fract_z
Li1 0.000 0.000 0.000
Sn1 0.000 0.000 0.500
Cl1 0.500 0.500 0.500
```

Density of states at the Fermi level   3.8 states/eV/cell
Total DFT energy (no corrections)   -3.061 eV/atom
Crystal system   cubic